Record 1
Here is a geometry-optimized HgP structure from Alexandria. Energies are from PBE.

Lattice parameters (Å, degrees): 3.422 3.422 3.422 90.00 90.00 90.00
Sites, in units of the cell vectors:
Hg: 0.000 0.000 0.000
P: 0.500 0.500 0.500

Distance to the lowest polymorph of the same formula   768 meV per atom
VASP energy   -0.15129 Ry per atom
Calculated formation energy   76.9 kJ/mol of atoms
Symmetry   Pm-3m (221)

=====

Record 2
Here is a geometry-optimized Pr2YGa structure from Alexandria. Energies are from PBE.

Lattice parameters (Å, degrees): 4.817 4.817 4.939 90.00 90.00 90.00
Sites, in units of the cell vectors:
Pr: 0.000 0.500 0.000
Pr: 0.500 0.000 0.000
Y: 0.000 0.000 0.500
Ga: 0.500 0.500 0.500

Distance to the lowest polymorph of the same formula   34 meV per atom
VASP energy   -0.36681 Ry per atom
Calculated formation energy   -22.0 kJ/mol of atoms
Symmetry   P4/mmm (123)